Here is LaTl2W at its PBEsol-relaxed geometry from Alexandria via LeMat-Bulk. Energies are from SCAN.

CIF file:
```
data_LaTl2W
_space_group_name_H-M_alt 'C m m m'
_space_group_IT_number 65
_space_group_name_Hall '-C 2 2'
_cell_length_a 3.483
_cell_length_b 5.056
_cell_length_c 10.366
_cell_angle_alpha 90.00
_cell_angle_beta 90.00
_cell_angle_gamma 90.00
loop_
_atom_site_label
_atom_site_fract_x
_atom_site_fract_y
_atom_site_fract_z
La1 0.000 0.000 0.000
Tl1 0.000 0.500 0.276
W1 0.000 0.000 0.500
```

Values from the calculation:
Energy of formation from the pure elements = 0.584 eV/atom
M_tot = 0.00 μB/f.u.
Volume = 22.8 Å³/atom